No. 1
Computed, not measured: a relaxed PrEr2Mg3Ir2Pt crystal at the PBE level of DFT.

extended XYZ file:
```
9
Lattice="4.057 0.000 0.000 0.000 6.382 3.675 0.000 -6.382 3.675" Properties=species:S:1:pos:R:3 pbc="T T T"
Pr 0.000 0.000 0.000
Er 0.000 -2.628 4.574
Er 0.000 2.628 4.574
Mg 2.028 -1.600 2.175
Mg 2.028 1.600 2.175
Mg 2.028 0.000 4.851
Ir 2.028 -4.185 3.046
Ir 2.028 4.185 3.046
Pt 0.000 0.000 3.123
```

Magnetic moment   0.00 μB per atom
Symmetry   Amm2, No. 38
E_tot   -49.1 eV/f.u.



No. 2
Computed, not measured: a relaxed Er3Mg3Ir2Pt crystal at the PBE level of DFT.

extended XYZ file:
```
9
Lattice="7.276 0.000 0.000 -3.638 6.301 0.000 0.000 0.000 4.017" Properties=species:S:1:pos:R:3 pbc="T T T"
Er -2.138 3.704 0.000
Er 1.499 2.597 0.000
Er 4.277 0.000 0.000
Mg -0.907 1.570 2.009
Mg 1.813 0.000 2.009
Mg 2.731 4.731 2.009
Ir 0.000 4.201 2.009
Ir 3.638 2.100 2.009
Pt 0.000 0.000 0.000
```

Magnetic moment   0.00 μB per atom
Symmetry   P-62m, No. 189
E_tot   -49.3 eV/f.u.



No. 3
Computed, not measured: a relaxed ErTm2Mg3Ir2Pt crystal at the PBE level of DFT.

extended XYZ file:
```
9
Lattice="4.012 0.000 0.000 0.000 6.291 3.632 0.000 -6.291 3.632" Properties=species:S:1:pos:R:3 pbc="T T T"
Er 0.000 0.000 0.000
Tm 0.000 -2.600 4.504
Tm 0.000 2.600 4.504
Mg 2.006 -1.557 2.104
Mg 2.006 1.557 2.104
Mg 2.006 0.000 4.800
Ir 2.006 -4.193 3.002
Ir 2.006 4.193 3.002
Pt 0.000 0.000 3.004
```

Magnetic moment   0.00 μB per atom
Symmetry   Amm2, No. 38
E_tot   -49.2 eV/f.u.



No. 4
Computed, not measured: a relaxed Y2ErMg3Ir2Pt crystal at the PBE level of DFT.

extended XYZ file:
```
9
Lattice="4.030 0.000 0.000 0.000 6.326 3.668 0.000 -6.326 3.668" Properties=species:S:1:pos:R:3 pbc="T T T"
Y 0.000 -3.714 3.668
Y 0.000 3.714 3.668
Er 0.000 0.000 2.807
Mg 2.015 0.000 0.302
Mg 2.015 -1.573 4.909
Mg 2.015 1.573 4.909
Ir 2.015 -2.077 2.161
Ir 2.015 2.077 2.161
Pt 0.000 0.000 5.798
```

Magnetic moment   0.00 μB per atom
Symmetry   Amm2, No. 38
E_tot   -53.0 eV/f.u.



No. 5
Computed, not measured: a relaxed Tb2ErMg3Ir3 crystal at the PBE level of DFT.

extended XYZ file:
```
9
Lattice="4.050 0.000 0.000 0.000 6.280 3.631 0.000 -6.280 3.631" Properties=species:S:1:pos:R:3 pbc="T T T"
Tb 0.000 -3.708 3.631
Tb 0.000 3.708 3.631
Er 0.000 0.000 2.812
Mg 2.025 0.000 0.293
Mg 2.025 -1.533 4.882
Mg 2.025 1.533 4.882
Ir 0.000 0.000 5.760
Ir 2.025 -2.074 2.147
Ir 2.025 2.074 2.147
```

Magnetic moment   0.00 μB per atom
Symmetry   Amm2, No. 38
E_tot   -51.2 eV/f.u.



No. 6
Computed, not measured: a relaxed Er3Mg3Tl2Ir crystal at the PBE level of DFT.

extended XYZ file:
```
9
Lattice="7.427 0.000 0.000 -3.713 6.432 0.000 0.000 0.000 4.430" Properties=species:S:1:pos:R:3 pbc="T T T"
Er -2.270 3.932 0.000
Er 1.443 2.499 0.000
Er 4.541 0.000 0.000
Mg -0.856 1.483 2.215
Mg 1.713 0.000 2.215
Mg 2.857 4.948 2.215
Tl 0.000 4.288 2.215
Tl 3.713 2.144 2.215
Ir 0.000 0.000 0.000
```

Magnetic moment   0.00 μB per atom
Symmetry   P-62m, No. 189
E_tot   -35.6 eV/f.u.



The lowest E_tot belongs to which entry?
Y2ErMg3Ir2Pt